Record 1
# ZrPbF6, optimized geometry, DFT PBE
data_ZrPbF6
_chemical_formula_sum 'Zr2 Pb2 F12'
_symmetry_space_group_name_H-M 'C 1 2/m 1'
_symmetry_Int_Tables_number 12
_cell_length_a 7.872
_cell_length_b 6.833
_cell_length_c 5.546
_cell_angle_alpha 90.00
_cell_angle_beta 110.99
_cell_angle_gamma 90.00
loop_
_symmetry_equiv_pos_as_xyz
'x,y,z'
'-x,-y,-z'
'-x,y,-z'
'x,-y,z'
'x+1/2,y+1/2,z'
'-x+1/2,-y+1/2,-z'
'-x+1/2,y+1/2,-z'
'x+1/2,-y+1/2,z'
loop_
_atom_site_label
_atom_site_type_symbol
_atom_site_fract_x
_atom_site_fract_y
_atom_site_fract_z
Zr1 Zr 0.000 0.000 0.000
Pb1 Pb 0.000 0.500 0.500
F1 F 0.071 0.207 0.285
F2 F 0.232 0.500 0.960
# N(E_F) in states/eV per atom: 0.00
# Formation energy from raw total energies in kJ/mol of atoms: -308

Record 2
# ZrPb2F6, optimized geometry, DFT PBE
data_ZrPb2F6
_chemical_formula_sum 'Zr2 Pb4 F12'
_symmetry_space_group_name_H-M 'P 42/m n m'
_symmetry_Int_Tables_number 136
_symmetry_space_group_name_Hall '-P 4n 2n'
_cell_length_a 5.961
_cell_length_b 5.961
_cell_length_c 11.645
_cell_angle_alpha 90.00
_cell_angle_beta 90.00
_cell_angle_gamma 90.00
loop_
_atom_site_label
_atom_site_type_symbol
_atom_site_fract_x
_atom_site_fract_y
_atom_site_fract_z
Zr1 Zr 0.000 0.000 0.000
Pb1 Pb 0.000 0.000 0.369
F1 F 0.183 0.183 0.117
F2 F 0.240 0.760 0.000
# Formation energy from raw total energies in kJ/mol of atoms: -252

Record 3
# PdF3, optimized geometry, DFT PBE
data_PdF3
_chemical_formula_sum 'Pd4 F12'
_symmetry_space_group_name_H-M 'C m c m'
_symmetry_Int_Tables_number 63
_symmetry_space_group_name_Hall '-C 2c 2'
_cell_length_a 3.166
_cell_length_b 8.346
_cell_length_c 8.403
_cell_angle_alpha 90.00
_cell_angle_beta 90.00
_cell_angle_gamma 90.00
loop_
_atom_site_label
_atom_site_type_symbol
_atom_site_fract_x
_atom_site_fract_y
_atom_site_fract_z
Pd1 Pd 0.000 0.153 0.250
F1 F 0.000 0.089 0.750
F2 F 0.000 0.355 0.596
# N(E_F) in states/eV per atom: 0.69
# Formation energy from raw total energies in kJ/mol of atoms: -98